The following is a PBE calculation of crystalline ErSc3Te4 at its relaxed geometry, from Alexandria.

Lattice parameters (Å, degrees): 8.781 7.768 7.880 90.00 90.00 90.00
Space group Pmn2_1 (No. 31)
Inequivalent atoms, fractional coordinates:
Er 0.000 0.115 0.000
Sc 0.000 0.842 0.364
Sc 0.196 0.709 0.003
Te 0.000 0.210 0.370
Te 0.000 0.835 0.741
Te 0.230 0.362 0.853

Final energy, eV per atom: -5.38